A plane-wave DFT calculation with PBE-GGA was carried out for crystalline SrGa3Au3 at its relaxed geometry.

extended XYZ file:
```
14
Lattice="8.599 0.000 0.000 0.000 4.664 0.000 -3.388 0.000 8.489" Properties=species:S:1:pos:R:3 pbc="T T T"
Sr 0.413 1.166 2.470
Sr 4.798 3.498 6.018
Ga 1.661 3.498 0.268
Ga -0.347 1.166 5.815
Ga 1.643 3.498 4.953
Ga 3.567 1.166 3.536
Ga 5.558 3.498 2.674
Ga 3.550 1.166 8.221
Au -0.875 3.498 4.496
Au -2.081 1.166 7.720
Au 2.877 3.498 2.533
Au 2.334 1.166 5.956
Au 7.292 3.498 0.768
Au 6.086 1.166 3.993
```

## Properties
**Symmetry**: P2_1/m, No. 11
**Fermi-level density of states**: 6.77 states/eV/cell
**Formation enthalpy at 0 K**: -262.9 kJ/mol of formula units
**Total DFT energy (no corrections)**: -0.122 hartree per atom
**Crystal system**: monoclinic
**Energy above the lowest structure with this stoichiometry**: 0.0 meV per atom
**V**: 340.5 Å³ per cell

=====

A plane-wave DFT calculation with PBE-GGA was carried out for crystalline SrGa11Au at its relaxed geometry.

extended XYZ file:
```
13
Lattice="2.867 -6.551 0.000 2.867 6.551 0.000 -2.728 0.000 6.959" Properties=species:S:1:pos:R:3 pbc="T T T"
Sr 0.000 0.000 0.000
Ga -1.364 0.000 3.479
Ga 1.433 3.275 0.000
Ga 0.100 4.192 4.478
Ga 0.095 1.404 5.451
Ga 2.906 4.192 2.480
Ga 0.095 -1.404 5.451
Ga 1.433 -3.275 0.000
Ga 2.911 1.404 1.508
Ga 0.100 -4.192 4.478
Ga 2.911 -1.404 1.508
Ga 2.906 -4.192 2.480
Au 1.503 0.000 3.479
```

## Properties
**Symmetry**: C2/m, No. 12
**Fermi-level density of states**: 5.01 states/eV/cell
**Formation enthalpy at 0 K**: -170.8 kJ/mol of formula units
**Total DFT energy (no corrections)**: -0.113 hartree per atom
**Crystal system**: monoclinic
**V**: 261.4 Å³ per cell

=====

A plane-wave DFT calculation with PBE-GGA was carried out for crystalline Sr5GaAu2 at its relaxed geometry.

extended XYZ file:
```
16
Lattice="-4.221 4.221 7.769 4.221 -4.221 7.769 4.221 4.221 -7.769" Properties=species:S:1:pos:R:3 pbc="T T T"
Sr 0.000 0.000 0.000
Sr 5.658 1.437 -2.216
Sr 1.437 2.784 -2.216
Sr 5.658 1.437 2.216
Sr 1.437 2.784 2.216
Sr 0.000 0.000 7.769
Sr 2.784 1.437 5.553
Sr -1.437 2.784 5.553
Sr 2.784 1.437 9.984
Sr -1.437 2.784 9.984
Ga 0.000 0.000 3.884
Ga 0.000 0.000 11.653
Au 3.160 1.061 0.000
Au 3.160 -1.061 7.769
Au 1.061 5.282 0.000
Au 1.061 3.160 7.769
```

## Properties
**Symmetry**: I4/mcm, No. 140
**Fermi-level density of states**: 9.40 states/eV/cell
**Formation enthalpy at 0 K**: -409.1 kJ/mol of formula units
**Total DFT energy (no corrections)**: -0.102 hartree per atom
**Crystal system**: tetragonal
**V**: 553.7 Å³ per cell

=====

A plane-wave DFT calculation with PBE-GGA was carried out for crystalline Sr8Ga2Au at its relaxed geometry.

extended XYZ file:
```
11
Lattice="4.923 -7.222 0.000 4.923 7.222 0.000 -2.440 0.000 6.489" Properties=species:S:1:pos:R:3 pbc="T T T"
Sr 0.000 0.000 0.000
Sr 0.057 1.932 3.745
Sr 3.036 2.928 1.198
Sr 0.057 -1.932 3.745
Sr 3.665 1.895 5.111
Sr 3.036 -2.928 1.198
Sr 3.665 -1.895 5.111
Sr 6.110 0.000 2.565
Ga 1.877 4.535 4.573
Ga 1.877 -4.535 4.573
Au 2.531 0.000 2.627
```

## Properties
**Symmetry**: Cm, No. 8
**Fermi-level density of states**: 11.46 states/eV/cell
**Formation enthalpy at 0 K**: -254.3 kJ/mol of formula units
**Total DFT energy (no corrections)**: -0.085 hartree per atom
**Crystal system**: monoclinic
**Energy above the lowest structure with this stoichiometry**: 39.9 meV per atom
**V**: 461.4 Å³ per cell

=====

A plane-wave DFT calculation with PBE-GGA was carried out for crystalline Sr7Ga2Au2 at its relaxed geometry.

extended XYZ file:
```
11
Lattice="6.181 -4.265 0.000 6.181 4.265 0.000 -0.007 0.000 7.916" Properties=species:S:1:pos:R:3 pbc="T T T"
Sr 0.000 0.000 0.000
Sr 3.091 2.133 2.132
Sr 9.264 -2.133 5.784
Sr 3.091 -2.133 2.132
Sr 9.264 2.133 5.784
Sr 6.181 0.000 2.041
Sr 6.174 0.000 5.875
Ga 6.178 2.972 3.958
Ga 6.178 -2.972 3.958
Au 3.695 0.000 0.000
Au 8.660 0.000 7.916
```

## Properties
**Symmetry**: C2/m, No. 12
**Fermi-level density of states**: 8.73 states/eV/cell
**Formation enthalpy at 0 K**: -352.4 kJ/mol of formula units
**Total DFT energy (no corrections)**: -0.094 hartree per atom
**Crystal system**: monoclinic
**V**: 417.4 Å³ per cell

=====

A plane-wave DFT calculation with PBE-GGA was carried out for crystalline SrGa12Au4 at its relaxed geometry.

extended XYZ file:
```
17
Lattice="-4.521 4.521 4.521 4.521 -4.521 4.521 4.521 4.521 -4.521" Properties=species:S:1:pos:R:3 pbc="T T T"
Sr 0.000 0.000 0.000
Ga 3.219 0.000 1.335
Ga 5.823 0.000 1.335
Ga 4.521 3.185 -1.302
Ga 1.335 3.219 0.000
Ga 3.185 -1.302 4.521
Ga 4.521 3.185 1.302
Ga 0.000 1.335 3.219
Ga 1.335 5.823 0.000
Ga 3.185 1.302 4.521
Ga 0.000 1.335 5.823
Ga -1.302 4.521 3.185
Ga 1.302 4.521 3.185
Au 2.260 2.260 -2.260
Au 2.260 -2.260 2.260
Au -2.260 2.260 2.260
Au 2.260 2.260 2.260
```

## Properties
**Symmetry**: Im-3, No. 204
**Fermi-level density of states**: 6.31 states/eV/cell
**Formation enthalpy at 0 K**: -283.4 kJ/mol of formula units
**Total DFT energy (no corrections)**: -0.117 hartree per atom
**Crystal system**: cubic
**V**: 369.6 Å³ per cell

=====

A plane-wave DFT calculation with PBE-GGA was carried out for crystalline Sr2Ga2Au7 at its relaxed geometry.

extended XYZ file:
```
11
Lattice="5.379 -4.567 0.000 5.379 4.567 0.000 -2.444 0.000 5.056" Properties=species:S:1:pos:R:3 pbc="T T T"
Sr 5.379 2.309 0.000
Sr 5.379 -2.309 0.000
Ga 1.653 0.000 2.619
Ga 6.661 0.000 2.438
Au -1.222 0.000 2.528
Au 2.767 2.212 1.818
Au 2.813 0.000 0.018
Au 5.547 2.212 3.238
Au 2.767 -2.212 1.818
Au 5.501 0.000 5.038
Au 5.547 -2.212 3.238
```

## Properties
**Symmetry**: C2/m, No. 12
**Fermi-level density of states**: 4.25 states/eV/cell
**Formation enthalpy at 0 K**: -502.0 kJ/mol of formula units
**Total DFT energy (no corrections)**: -0.125 hartree per atom
**Crystal system**: monoclinic
**V**: 248.4 Å³ per cell

=====

A plane-wave DFT calculation with PBE-GGA was carried out for crystalline Sr3Ga3Au at its relaxed geometry.

extended XYZ file:
```
14
Lattice="5.870 -2.305 0.000 5.870 2.305 0.000 -5.189 0.000 15.060" Properties=species:S:1:pos:R:3 pbc="T T T"
Sr -0.927 0.000 4.096
Sr -0.889 0.000 8.650
Sr -0.958 0.000 13.487
Sr 7.508 0.000 1.573
Sr 7.440 0.000 6.409
Sr 7.477 0.000 10.964
Ga -4.242 0.000 14.235
Ga 2.510 0.000 4.109
Ga 2.582 0.000 8.681
Ga 3.969 0.000 6.379
Ga 4.041 0.000 10.951
Ga 10.793 0.000 0.825
Au 4.077 0.000 1.893
Au 2.473 0.000 13.167
```

## Properties
**Symmetry**: C2/m, No. 12
**Fermi-level density of states**: 11.12 states/eV/cell
**Formation enthalpy at 0 K**: -343.0 kJ/mol of formula units
**Total DFT energy (no corrections)**: -0.110 hartree per atom
**Crystal system**: monoclinic
**V**: 407.6 Å³ per cell

=====

> Which of these has the lowest formation enthalpy at 0 K?

Sr2Ga2Au7

=====

> formation enthalpy at 0 K of number 7 (Sr2Ga2Au7)?

-502.0 kJ/mol of formula units

=====

> Among the records above, which one has the highest V?

Sr5GaAu2

=====

> V of number 2 (SrGa11Au)?

261.4 Å³ per cell